[1]
## La8SiS6 (PBE)

Data for a geometry-optimized La8SiS6 structure.

It has space group P-3 (No. 147), with a = 10.6402 Å, b = 10.6402 Å, c = 4.2151 Å, α = 90.00°, β = 90.00° and γ = 120.00°. The distinct sites, in fractional coordinates, are La at (0.0345, 0.3256, 0.2467), La at (0.3333, 0.6667, 0.7500), Si at (0.0000, 0.0000, 0.0000) and S at (0.1328, 0.6494, 0.2500).

The value obtained for the volume is 413 Å³ per cell. The value obtained for the formation energy from raw total energies is -23.6 eV/f.u. As for the crystal system: trigonal.

=====

[2]
## La6SiS4 (PBE)

Data for a geometry-optimized La6SiS4 structure.

It has space group Cmcm (No. 63), with a = 4.1897 Å, b = 13.6547 Å, c = 21.0664 Å, α = 90.00°, β = 90.00° and γ = 90.00°. The distinct sites, in fractional coordinates, are La at (0.0000, 0.0000, 0.0000), La at (0.0000, 0.1758, 0.2500), La at (0.0000, 0.2727, 0.5841), La at (0.0000, 0.4501, 0.1646), Si at (0.0000, 0.1632, 0.7500), S at (0.0000, 0.0909, 0.1252) and S at (0.0000, 0.3627, 0.0407).

The value obtained for the volume is 1205 Å³ per cell. The value obtained for the formation energy from raw total energies is -18.6 eV/f.u. As for the crystal system: orthorhombic.

=====

[3]
## La2SiS5 (PBE)

Data for a geometry-optimized La2SiS5 structure.

It has space group I4mm (No. 107), with a = 6.7359 Å, b = 6.7359 Å, c = 8.2572 Å, α = 90.00°, β = 90.00° and γ = 90.00°. The distinct sites, in fractional coordinates, are La at (0.0000, 0.5000, 0.0000), Si at (0.0000, 0.0000, 0.2234), S at (0.0000, 0.0000, 0.9713) and S at (0.2293, 0.2293, 0.2824).

The value obtained for the volume is 375 Å³ per cell. The value obtained for the formation energy from raw total energies is -11.3 eV/f.u. The calculation puts the distance to the lowest polymorph of the same formula at 252.4 meV per atom. As for the crystal system: tetragonal.

=====

[4]
## La4Si2S (PBE)

Data for a geometry-optimized La4Si2S structure.

It has space group C2/m (No. 12), with a = 12.6779 Å, b = 4.3482 Å, c = 8.9339 Å, α = 90.00°, β = 126.82° and γ = 90.00°. The distinct sites, in fractional coordinates, are La at (0.0868, 0.0000, 0.3793), La at (0.1810, 0.5000, 0.0872), Si at (0.1066, 0.5000, 0.6572) and S at (0.0000, 0.0000, 0.0000).

The value obtained for the volume is 394 Å³ per cell. The value obtained for the formation energy from raw total energies is -7.1 eV/f.u. As for the crystal system: monoclinic.

=====

[5]
## LaSi3S (PBE)

Data for a geometry-optimized LaSi3S structure.

It has space group Pm-3m (No. 221), with a = 5.5903 Å, b = 5.5903 Å, c = 5.5903 Å, α = 90.00°, β = 90.00° and γ = 90.00°. The distinct sites, in fractional coordinates, are La at (0.0000, 0.0000, 0.0000), Si at (0.0000, 0.0000, 0.5000) and S at (0.5000, 0.5000, 0.5000).

The value obtained for the volume is 175 Å³ per cell. The value obtained for the formation energy from raw total energies is 8.4 eV/f.u. The calculation puts the distance to the lowest polymorph of the same formula at 1500.3 meV per atom. As for the crystal system: cubic.

=====

[6]
## La3SiS2 (PBE)

Data for a geometry-optimized La3SiS2 structure.

It has space group Immm (No. 71), with a = 4.2747 Å, b = 5.9945 Å, c = 12.7090 Å, α = 90.00°, β = 90.00° and γ = 90.00°. The distinct sites, in fractional coordinates, are La at (0.0000, 0.0000, 0.0000), La at (0.0000, 0.0000, 0.3326), Si at (0.0000, 0.5000, 0.0000) and S at (0.0000, 0.5000, 0.3344).

The value obtained for the volume is 326 Å³ per cell. The value obtained for the formation energy from raw total energies is -10.2 eV/f.u. As for the crystal system: orthorhombic.